Entry from the Open Quantum Materials Database: TbCuPbSeS2 after structural relaxation (PBE).

* V: 278 Å³ per cell
* electronic total energy: -60.43 eV/cell
* crystal system: orthorhombic

Structure (CIF):
```
data_TbCuPbSeS2
_chemical_formula_sum 'Tb2 Cu2 Pb2 Se2 S4'
_cell_length_a 6.9367
_cell_length_b 6.9367
_cell_length_c 10.5732
_cell_angle_alpha 90.00
_cell_angle_beta 90.00
_cell_angle_gamma 146.85
_space_group_name_H-M_alt 'P 1'
_space_group_IT_number 1
loop_
_space_group_symop_operation_xyz
'x,y,z'
loop_
_atom_site_label
_atom_site_type_symbol
_atom_site_fract_x
_atom_site_fract_y
_atom_site_fract_z
Pb1 Pb 0.2666 0.7334 0.7500
Cu1 Cu 0.0348 0.9652 0.2500
S1 S 0.8658 0.1342 0.5700
Se1 Se 0.4157 0.5843 0.2500
Pb2 Pb 0.7334 0.2666 0.2500
Cu2 Cu 0.9652 0.0348 0.7500
S2 S 0.8658 0.1342 0.9300
Tb1 Tb 0.5000 0.5000 0.0000
S3 S 0.1342 0.8658 0.4300
Se2 Se 0.5843 0.4157 0.7500
Tb2 Tb 0.5000 0.5000 0.5000
S4 S 0.1342 0.8658 0.0700
```